Material: ScSbSeI2
Method: DFT, GGA-PBE
State: optimized geometry

Cell lengths 5.453, 5.453, 6.043 Å; angles 90.00, 90.00, 90.00 degrees
Each line ends with the local moment (μB).
Atoms (fractional coordinates):
I1 0.000 0.500 0.000  0.01
I2 0.500 0.000 0.000  0.01
Sc1 0.000 0.000 0.000  0.01
Se1 0.500 0.500 0.500  0.42
Sb1 0.000 0.000 0.500  -0.15

Properties
Polymorph energy (0 for the lowest one): 0.0000 eV/atom
ΔE_f (raw): -0.0595 eV/atom
Spin magnetization: 0.364 μB per cell
Volume: 35.9 A^3/atom
Density: 4615 kg/m³